Below is a relaxed CuMo2Rh crystal, with properties calculated at the PBE level.

The calculation puts the total magnetization at 0.0 μB per formula unit. For the calculated formation energy, the calculation gives 0.65 eV/f.u. The volume is 176.3 Å³/cell. The density of states at the Fermi level comes out at 11.9 states/eV/cell. Its total energy is -8.12 eV per atom.

It has space group R-3m (No. 166, hexagonal axes), with a = 2.7399 Å, b = 2.7399 Å, c = 27.1230 Å, α = 90.00°, β = 90.00° and γ = 120.00°. The asymmetric unit holds Cu at (0.0000, 0.0000, 0.0000), Mo at (0.0000, 0.0000, 0.2498) and Rh at (0.0000, 0.0000, 0.5000).


Below is a relaxed Ca5Er12Tm3 crystal, with properties calculated at the PBE level.

The calculation puts the total magnetization at 0.1 μB per formula unit. For the calculated formation energy, the calculation gives 18.65 eV/f.u. The volume is 7413.1 Å³/cell. The density of states at the Fermi level comes out at 329.1 states/eV/cell. Its total energy is -2.98 eV per atom.

It has space group Ia-3d (No. 230), with a = 19.4984 Å, b = 19.4984 Å, c = 19.4984 Å, α = 90.00°, β = 90.00° and γ = 90.00°. The asymmetric unit holds Ca at (0.0000, 0.0000, 0.0000), Ca at (0.0000, 0.2500, 0.3750), Er at (0.0043, 0.0864, 0.1452) and Tm at (0.0000, 0.2500, 0.1250).


Below is a relaxed Li2Zn2Mo crystal, with properties calculated at the PBE level.

The calculation puts the total magnetization at 1.6 μB per formula unit. For the calculated formation energy, the calculation gives 2.06 eV/f.u. The calculation puts the relative energy among the computed polymorphs at 299 meV/atom. The volume is 139.0 Å³/cell. The density of states at the Fermi level comes out at 5.4 states/eV/cell. Its total energy is -3.03 eV per atom.

It has space group I4/mmm (No. 139), with a = 4.1219 Å, b = 4.1219 Å, c = 8.1835 Å, α = 90.00°, β = 90.00° and γ = 90.00°. The asymmetric unit holds Li at (0.0000, 0.0000, 0.1185), Zn at (0.0000, 0.5000, 0.2500) and Mo at (0.0000, 0.0000, 0.5000).


Below is a relaxed Y2ZrPbO crystal, with properties calculated at the PBE level.

The calculation puts the total magnetization at 0.0 μB per formula unit. The volume is 107.4 Å³/cell. The density of states at the Fermi level comes out at 3.9 states/eV/cell. The calculation puts the uncorrected formation energy at -1.2251 eV per atom. Its total energy is -7.25 eV per atom.

It has space group P4/mmm (No. 123), with a = 4.9502 Å, b = 4.9502 Å, c = 4.3822 Å, α = 90.00°, β = 90.00° and γ = 90.00°. The asymmetric unit holds Y at (0.0000, 0.5000, 0.0000), Zr at (0.0000, 0.0000, 0.5000), Pb at (0.5000, 0.5000, 0.5000) and O at (0.0000, 0.0000, 0.0000).


Below is a relaxed AcSnBi4 crystal, with properties calculated at the PBE level.

The calculation puts the total magnetization at 0.0 μB per formula unit. For the calculated formation energy, the calculation gives -0.79 eV/f.u. The volume is 813.3 Å³/cell. The density of states at the Fermi level comes out at 23.3 states/eV/cell. Its total energy is -4.07 eV per atom.

It has space group F-43m (No. 216), with a = 9.3342 Å, b = 9.3342 Å, c = 9.3342 Å, α = 90.00°, β = 90.00° and γ = 90.00°. The asymmetric unit holds Ac at (0.0000, 0.0000, 0.0000), Sn at (0.2500, 0.2500, 0.7500) and Bi at (0.1245, 0.1245, 0.3755).


Below is a relaxed BiPtPb3 crystal, with properties calculated at the PBE level.

The calculation puts the total magnetization at 0.0 μB per formula unit. For the calculated formation energy, the calculation gives -0.74 eV/f.u. The calculation puts the relative energy among the computed polymorphs at 0 meV/atom. The volume is 563.8 Å³/cell. The density of states at the Fermi level comes out at 11.3 states/eV/cell. Its total energy is -4.36 eV per atom.

It has space group P4_2/mnm (No. 136), with a = 11.6146 Å, b = 11.6146 Å, c = 4.1792 Å, α = 90.00°, β = 90.00° and γ = 90.00°. The asymmetric unit holds Bi at (0.2037, 0.2037, 0.0000), Pt at (0.0860, 0.0860, 0.5000), Pb at (0.0037, 0.3292, 0.5000) and Pb at (0.1036, 0.8964, 0.0000).